No. 1
# LiCdCu4

A relaxed structure of LiCdCu4 (GGA-PBE, Alexandria via LeMat-Bulk).

Summary:
- density of states at the Fermi level (states/eV/cell) = 2.67
- E_form (eV/f.u.) = -0.37

```
LiCdCu4
1.0
-0.927 4.426 2.020
-3.610 0.483 3.356
1.129 0.841 4.748
Cu Li Cd
4 1 1
Cartesian
-1.667 1.384 5.317
-0.328 3.352 4.650
-2.693 3.173 3.955
-2.129 3.593 6.325
-0.852 1.438 2.531
0.000 0.000 0.000
```

No. 2
# ReTe2Se

A relaxed structure of ReTe2Se (GGA-PBE, Alexandria via LeMat-Bulk).

Summary:
- density of states at the Fermi level (states/eV/cell) = 2.63
- electronic total energy (eV/atom) = -5.2028

```
ReTe2Se
1.0
-3.885 0.144 1.333
-1.935 -1.673 3.217
2.239 6.664 4.110
Re Te Se
1 2 1
Cartesian
-0.895 1.284 2.165
-5.307 -1.018 4.512
-2.304 2.055 4.367
-2.686 3.851 6.495
```

No. 3
# Mg2ScCu

A relaxed structure of Mg2ScCu (GGA-PBE, Alexandria via LeMat-Bulk).

Summary:
- density of states at the Fermi level (states/eV/cell) = 2.66
- E_form (eV/f.u.) = -0.45

```
Mg2ScCu
1.0
3.147 0.058 0.000
-0.057 3.147 0.000
0.000 0.000 8.053
Mg Cu Sc
2 1 1
Cartesian
1.545 1.603 1.982
0.000 0.000 7.692
1.545 1.603 6.056
0.000 0.000 4.402
```

no.,total magnetization (μB/f.u.)
1,0.000
2,0.000
3,0.000